# 1
VASP calculation (PBE) on a geometry-optimized K2TlOs3O12 structure.

```
K2TlOs3O12
1.0
3.659 2.113 5.975
-3.659 2.113 5.975
0.000 -4.225 5.975
K Tl Os O
2 1 3 12
Cartesian
0.000 0.000 2.011
0.000 0.000 15.914
0.000 0.000 8.962
-1.830 -1.056 5.975
-1.830 1.056 11.950
0.000 2.113 5.975
-2.252 -1.300 7.700
0.000 -1.624 6.381
-1.406 0.812 6.381
0.000 -2.600 10.224
-2.252 1.300 10.224
-1.406 -0.812 11.544
1.406 0.812 6.381
2.252 -1.300 7.700
0.000 2.600 7.700
1.406 -0.812 11.544
0.000 1.624 11.544
2.252 1.300 10.224
```

Total DFT energy (no corrections) ... -6.5448 eV per atom
Space group ... R-3m (166)
ρ ... 6.3 Mg/m³
M_tot ... 0.00 μB per atom
Formation energy without anion corrections ... -1.114 eV/atom

***

# 2
VASP calculation (PBE) on a geometry-optimized La2YTc structure.

```
La2YTc
1.0
2.130 -2.817 0.000
2.130 2.817 0.000
0.000 0.000 10.106
La Y Tc
2 1 1
Cartesian
0.000 0.000 1.824
0.000 0.000 8.282
2.130 0.000 5.053
2.130 0.000 0.000
```

Total DFT energy (no corrections) ... -6.5227 eV per atom
Energy above the lowest structure with this stoichiometry ... 187.8 meV per atom
Space group ... Cmmm (65)
ρ ... 6.4 Mg/m³
Calculated formation energy ... 0.1485 eV/atom
M_tot ... 0.00 μB per atom

***

# 3
VASP calculation (PBE) on a geometry-optimized BeFeI3 structure.

```
BeFeI3
1.0
5.275 0.000 0.000
0.000 5.275 0.000
0.000 0.000 5.275
Be Fe I
1 1 3
Cartesian
0.000 0.000 0.000
2.638 2.638 2.638
0.000 0.000 2.638
0.000 2.638 0.000
2.638 0.000 0.000
```

Total DFT energy (no corrections) ... -2.7268 eV per atom
Energy above the lowest structure with this stoichiometry ... 0.0 meV per atom
Space group ... Pm-3m (221)
ρ ... 5.0 Mg/m³
M_tot ... 0.81 μB per atom
Formation energy without anion corrections ... 0.641 eV/atom

***

# 4
VASP calculation (PBE) on a geometry-optimized TmGa3NiRh structure.

```
TmGa3NiRh
1.0
3.180 -6.011 0.000
3.180 6.011 0.000
0.000 0.000 5.485
Tm Ga Ni Rh
2 6 2 2
Cartesian
3.180 3.356 4.114
3.180 -3.356 1.371
1.237 0.000 0.000
1.237 0.000 2.743
3.180 1.870 1.371
3.180 -1.870 4.114
5.124 0.000 0.000
5.124 0.000 2.743
3.180 4.270 1.371
3.180 -4.270 4.114
3.180 0.753 4.114
3.180 -0.753 1.371
```

Total DFT energy (no corrections) ... -4.8825 eV per atom
Space group ... Cmcm (63)
ρ ... 8.5 Mg/m³
Calculated formation energy ... -0.4350 eV/atom
M_tot ... 0.00 μB per atom

***

# 5
VASP calculation (PBE) on a geometry-optimized ReTe2Br structure.

```
ReTe2Br
1.0
1.534 0.885 12.635
-1.534 0.885 12.635
0.000 -1.771 12.635
Re Te Br
1 2 1
Cartesian
0.000 0.000 0.000
0.000 0.000 2.664
0.000 0.000 35.241
0.000 0.000 18.952
```

Total DFT energy (no corrections) ... -4.3796 eV per atom
Energy above the lowest structure with this stoichiometry ... 761.3 meV per atom
Space group ... R-3m (166)
ρ ... 8.4 Mg/m³
M_tot ... 0.00 μB per atom
Formation energy without anion corrections ... 0.721 eV/atom

***

# 6
VASP calculation (PBE) on a geometry-optimized Ac6AgPb2 structure.

```
Ac6AgPb2
1.0
-2.803 4.033 8.314
2.803 -4.033 8.314
2.803 4.033 -8.314
Ac Ag Pb
6 1 2
Cartesian
2.803 1.968 -2.674
0.000 1.885 0.000
2.803 1.968 2.674
0.000 2.064 5.641
0.000 6.181 0.000
0.000 2.064 10.988
2.803 0.000 0.000
2.803 0.000 5.560
0.000 4.033 2.755
```

Total DFT energy (no corrections) ... -4.0201 eV per atom
Space group ... Immm (71)
ρ ... 8.3 Mg/m³
Calculated formation energy ... -0.1402 eV/atom
M_tot ... 0.00 μB per atom

***

# 7
VASP calculation (PBE) on a geometry-optimized La3PbN structure.

```
La3PbN
1.0
3.476 -6.223 0.000
3.476 6.223 0.000
0.000 0.000 7.515
La Pb N
6 2 2
Cartesian
0.000 0.000 0.000
0.000 0.000 3.757
1.841 2.740 5.636
1.841 -2.740 1.879
5.111 2.740 5.636
5.111 -2.740 1.879
3.476 0.579 1.879
3.476 -0.579 5.636
3.476 4.724 1.879
3.476 -4.724 5.636
```

Total DFT energy (no corrections) ... -5.9462 eV per atom
Space group ... Cmcm (63)
ρ ... 6.5 Mg/m³
M_tot ... 0.00 μB per atom
Formation energy without anion corrections ... -0.583 eV/atom

***

# 8
VASP calculation (PBE) on a geometry-optimized Y2GaAg structure.

```
Y2GaAg
1.0
1.849 1.068 8.724
-1.849 1.068 8.724
0.000 -2.135 8.724
Y Ga Ag
2 1 1
Cartesian
0.000 0.000 6.469
0.000 0.000 19.702
0.000 0.000 13.086
0.000 0.000 0.000
```

Total DFT energy (no corrections) ... -4.9561 eV per atom
Space group ... R-3m (166)
ρ ... 5.7 Mg/m³
Calculated formation energy ... -0.2545 eV/atom
M_tot ... 0.00 μB per atom